8
Lattice="0.000 6.477 6.477 6.477 0.000 6.477 6.477 6.477 0.000" Properties=species:S:1:pos:R:3 comment="GGA-PBE Cs2LiRe, optimized geometry" polymorph_energy_mev_per_atom=496 n_ef_per_ev_fu=6.6 crystal_system=cubic formation_enthalpy_0k_ev_per_atom=2.10 pbc="T T T"
Cs 0.000 0.000 0.000
Cs 3.239 3.239 0.000
Cs 3.239 0.000 3.239
Cs 0.000 3.239 3.239
Li 4.858 4.858 4.858
Li 8.096 8.096 8.096
Re 1.619 1.619 1.619
Re 11.335 11.335 11.335